The following is a DFT calculation (GGA-PBE) of a relaxed structure of La5Tb2NdSm.

```
La5Tb2NdSm
1.0
-8.609 3.166 4.013
-4.001 -5.813 -3.997
1.066 -5.040 6.263
La Tb Nd Sm
10 4 2 2
direct
0.500 0.500 0.500 La
0.500 0.000 0.000 La
0.237 0.203 0.703 La
0.237 0.797 0.297 La
0.237 0.297 0.203 La
0.237 0.703 0.797 La
0.763 0.203 0.703 La
0.763 0.703 0.797 La
0.763 0.797 0.297 La
0.763 0.297 0.203 La
0.500 0.629 0.129 Tb
0.500 0.129 0.371 Tb
0.500 0.871 0.629 Tb
0.500 0.371 0.871 Tb
0.000 0.500 0.500 Nd
0.000 0.000 0.000 Nd
0.000 0.000 0.500 Sm
0.000 0.500 0.000 Sm
```

Values from the calculation:
Its symmetry is P4/mbm. For the calculated volume, the calculation gives 36.58 Å³ per atom. The value obtained for the magnetic moment is 0.000 μB per atom. The energy relative to the elements comes out at 262 meV/atom.

---

The following is a DFT calculation (GGA-PBE) of a relaxed structure of Cs2TmRe3O12.

```
Cs2TmRe3O12
1.0
7.610 0.148 0.105
3.887 6.544 0.105
3.887 2.263 6.141
Cs Tm Re O
2 1 3 12
direct
0.617 0.617 0.617 Cs
0.383 0.383 0.383 Cs
0.000 0.000 0.000 Tm
0.500 0.000 0.000 Re
0.000 0.500 0.000 Re
0.000 0.000 0.500 Re
0.305 0.305 0.932 O
0.933 0.933 0.346 O
0.346 0.933 0.933 O
0.932 0.305 0.305 O
0.933 0.346 0.933 O
0.305 0.932 0.305 O
0.695 0.695 0.068 O
0.067 0.067 0.654 O
0.654 0.067 0.067 O
0.068 0.695 0.695 O
0.067 0.654 0.067 O
0.695 0.068 0.695 O
```

Values from the calculation:
Its symmetry is R-3m. For the calculated volume, the calculation gives 16.60 Å³ per atom. The value obtained for the magnetic moment is 0.048 μB per atom. The formation energy from raw total energies is -1969 meV/atom.

---

The following is a DFT calculation (GGA-PBE) of a relaxed structure of Li2MoOs.

```
Li2MoOs
1.0
-4.180 2.397 1.177
-0.418 -5.362 -0.116
-0.063 -0.453 2.499
Li Mo Os
2 1 1
direct
0.000 0.000 0.000 Li
0.500 0.000 0.500 Li
0.000 0.500 0.500 Mo
0.500 0.500 0.000 Os
```

Values from the calculation:
Its symmetry is C2/m. The calculation puts the distance to the lowest polymorph of the same formula at 0.617 eV/f.u. For the calculated volume, the calculation gives 14.64 Å³ per atom. The value obtained for the magnetic moment is 0.000 μB per atom. The energy relative to the elements comes out at 302 meV/atom.

---

The following is a DFT calculation (GGA-PBE) of a relaxed structure of SrScAsSe2.

```
SrScAsSe2
1.0
5.214 0.000 0.000
0.000 5.214 0.000
0.000 0.000 5.121
Sc Sr As Se
1 1 1 2
direct
0.000 0.000 0.000 Sc
0.500 0.500 0.500 Sr
0.000 0.000 0.500 As
0.000 0.500 0.000 Se
0.500 0.000 0.000 Se
```

Values from the calculation:
Its symmetry is P4/mmm. The calculation puts the distance to the lowest polymorph of the same formula at 0.000 eV/f.u. For the calculated volume, the calculation gives 27.85 Å³ per atom. The value obtained for the magnetic moment is 0.000 μB per atom. The formation energy from raw total energies is -1083 meV/atom.

---

The following is a DFT calculation (GGA-PBE) of a relaxed structure of LuHfCoPd.

```
LuHfCoPd
1.0
4.665 0.000 0.000
2.332 4.040 0.000
2.332 1.347 3.809
Co Lu Hf Pd
1 1 1 1
direct
0.250 0.250 0.250 Co
0.000 0.000 0.000 Lu
0.500 0.500 0.500 Hf
0.750 0.750 0.750 Pd
```

Values from the calculation:
Its symmetry is F-43m. For the calculated volume, the calculation gives 17.95 Å³ per atom. The value obtained for the magnetic moment is 0.122 μB per atom. The energy relative to the elements comes out at -507 meV/atom.

---

The following is a DFT calculation (GGA-PBE) of a relaxed structure of Sr2Ag2Pd.

```
Sr2Ag2Pd
1.0
7.784 0.000 0.000
0.000 7.784 0.000
0.000 0.000 4.462
Sr Pd Ag
4 2 4
direct
0.181 0.681 0.500 Sr
0.681 0.819 0.500 Sr
0.819 0.319 0.500 Sr
0.319 0.181 0.500 Sr
0.000 0.000 0.000 Pd
0.500 0.500 0.000 Pd
0.373 0.873 0.000 Ag
0.873 0.627 0.000 Ag
0.627 0.127 0.000 Ag
0.127 0.373 0.000 Ag
```

Values from the calculation:
Its symmetry is P4/mbm. The calculation puts the distance to the lowest polymorph of the same formula at 0.558 eV/f.u. For the calculated volume, the calculation gives 27.04 Å³ per atom. The value obtained for the magnetic moment is 0.000 μB per atom. The energy relative to the elements comes out at -276 meV/atom.

---

The following is a DFT calculation (GGA-PBE) of a relaxed structure of BaBeZn2Cl.

```
BaBeZn2Cl
1.0
6.830 0.000 0.000
0.000 5.862 0.000
0.000 0.000 6.830
Be Zn Ba Cl
1 2 1 1
direct
0.500 0.500 0.500 Be
0.000 0.000 0.500 Zn
0.500 0.000 0.000 Zn
0.000 0.000 0.000 Ba
0.000 0.500 0.000 Cl
```

Values from the calculation:
Its symmetry is P4/mmm. The calculation puts the distance to the lowest polymorph of the same formula at 0.000 eV/f.u. For the calculated volume, the calculation gives 54.69 Å³ per atom. The value obtained for the magnetic moment is 0.000 μB per atom. The formation energy from raw total energies is 465 meV/atom.

---

The following is a DFT calculation (GGA-PBE) of a relaxed structure of La2Sn8Pb.

```
La2Sn8Pb
1.0
4.703 0.000 0.000
0.000 4.703 0.000
0.000 0.000 14.745
La Sn Pb
2 8 1
direct
0.000 0.000 0.340 La
0.000 0.000 0.660 La
0.000 0.500 0.500 Sn
0.500 0.000 0.500 Sn
0.500 0.500 0.322 Sn
0.500 0.500 0.678 Sn
0.000 0.500 0.161 Sn
0.500 0.000 0.161 Sn
0.000 0.500 0.839 Sn
0.500 0.000 0.839 Sn
0.000 0.000 0.000 Pb
```

Values from the calculation:
Its symmetry is P4/mmm. For the calculated volume, the calculation gives 29.64 Å³ per atom. The value obtained for the magnetic moment is 0.000 μB per atom. The energy relative to the elements comes out at -366 meV/atom.